Record 1
The following is a DFT calculation (PBE) of KAlAu after structural relaxation.

Cell: 6.688 6.688 6.688 Å, 148.68 148.68 44.88°
Atoms (fractional coordinates):
K  0.668  0.668  0.000
Au  0.389  0.389  0.000
Al  0.943  0.943  0.000

Summary:
SG   I4mm, No. 107
Energy of formation   -0.17 eV per atom
Total magnetic moment   0.000 μB/f.u.
Uncorrected energy   -8.64 eV per cell

=====

Record 2
The following is a DFT calculation (PBE) of KAlAu3 after structural relaxation.

Cell: 5.037 5.037 5.037 Å, 90.00 90.00 90.00°
Atoms (fractional coordinates):
K  0.500  0.500  0.500
Au  0.000  0.500  0.000
Au  0.000  0.000  0.500
Au  0.500  0.000  0.000
Al  0.000  0.000  0.000

Summary:
SG   Pm-3m, No. 221
Energy of formation   -0.21 eV per atom
Total magnetic moment   0.000 μB/f.u.
Uncorrected energy   -15.72 eV per cell

=====

Record 3
The following is a DFT calculation (PBE) of KAlAu after structural relaxation.

Cell: 5.601 4.335 4.335 Å, 120.00 90.00 90.00°
Atoms (fractional coordinates):
K  0.667  0.333  0.667
Au  0.167  0.000  0.000
Al  0.167  0.667  0.333

Summary:
SG   P-6m2, No. 187
Energy of formation   -0.20 eV per atom
Total magnetic moment   0.000 μB/f.u.
Uncorrected energy   -8.72 eV per cell

=====

Record 4
The following is a DFT calculation (PBE) of KAlAu after structural relaxation.

Cell: 5.208 5.208 5.208 Å, 60.00 60.00 60.00°
Atoms (fractional coordinates):
K  0.750  0.750  0.750
Au  0.500  0.500  0.500
Al  0.000  0.000  0.000

Summary:
SG   F-43m, No. 216
Energy of formation   0.63 eV per atom
Total magnetic moment   0.000 μB/f.u.
Uncorrected energy   -6.24 eV per cell

=====

total magnetic moment of number 2 (KAlAu3)? 0.000 μB/f.u.

=====

Which value of energy of formation does entry 3 give? -0.20 eV per atom